The following is a PBE calculation of AcPrPH after structural relaxation, from the Alexandria database.

abc: 13.6966 13.6966 13.6966
angles: 17.73 17.73 17.73
Fractional positions:
Ac 0.1214 0.1214 0.1214
Ac 0.8786 0.8786 0.8786
Pr 0.2930 0.2930 0.2930
Pr 0.7070 0.7070 0.7070
P 0.0000 0.0000 0.0000
P 0.5000 0.5000 0.5000
H 0.2344 0.2344 0.2344
H 0.7656 0.7656 0.7656

Results
**Volume**: 26.0 Å³ per atom
**Final energy**: -5.34 eV/atom